--- i ---
Material: FeRuSe
Method: DFT, PBE
State: relaxed

Total magnetic moment in μB per atom: 1.0348

```
data_FeRuSe
_space_group_name_H-M_alt 'I m m 2'
_space_group_IT_number 44
_cell_length_a 3.061
_cell_length_b 3.777
_cell_length_c 7.524
_cell_angle_alpha 90.00
_cell_angle_beta 90.00
_cell_angle_gamma 90.00
loop_
_space_group_symop_operation_xyz
'x,y,z'
'-x,-y,z'
'-x,y,z'
'x,-y,z'
'x+1/2,y+1/2,z+1/2'
'-x+1/2,-y+1/2,z+1/2'
'-x+1/2,y+1/2,z+1/2'
'x+1/2,-y+1/2,z+1/2'
loop_
_atom_site_label
_atom_site_type_symbol
_atom_site_fract_x
_atom_site_fract_y
_atom_site_fract_z
Fe1 Fe 0.000 0.000 0.000
Ru1 Ru 0.000 0.000 0.654
Se1 Se 0.000 0.000 0.317
```



--- ii ---
Material: FeRuSe
Method: DFT, PBE
State: relaxed

Total magnetic moment in μB per atom: 0.8925

```
data_FeRuSe
_space_group_name_H-M_alt 'I 4 m m'
_space_group_IT_number 107
_space_group_name_Hall 'I 4 -2'
_cell_length_a 2.997
_cell_length_b 2.997
_cell_length_c 9.436
_cell_angle_alpha 90.00
_cell_angle_beta 90.00
_cell_angle_gamma 90.00
loop_
_atom_site_label
_atom_site_type_symbol
_atom_site_fract_x
_atom_site_fract_y
_atom_site_fract_z
Fe1 Fe 0.000 0.000 0.000
Ru1 Ru 0.000 0.000 0.676
Se1 Se 0.000 0.000 0.339
```



Relative to the most stable one, in eV/atom, the structures come out at i 0.057; ii 0.000.



--- i ---
Material: FeRu3Se
Method: DFT, PBE
State: relaxed

Total magnetic moment in μB per atom: 0.1345

```
data_FeRu3Se
_space_group_name_H-M_alt 'P m -3 m'
_space_group_IT_number 221
_space_group_name_Hall '-P 4 2 3'
_cell_length_a 4.471
_cell_length_b 4.471
_cell_length_c 4.471
_cell_angle_alpha 90.00
_cell_angle_beta 90.00
_cell_angle_gamma 90.00
loop_
_atom_site_label
_atom_site_type_symbol
_atom_site_fract_x
_atom_site_fract_y
_atom_site_fract_z
Fe1 Fe 0.000 0.000 0.000
Ru1 Ru 0.000 0.500 0.500
Se1 Se 0.500 0.500 0.500
```



--- ii ---
Material: FeRu3Se
Method: DFT, PBE
State: relaxed

Total magnetic moment in μB per atom: 0.0000

```
data_FeRu3Se
_space_group_name_H-M_alt 'P m -3 m'
_space_group_IT_number 221
_space_group_name_Hall '-P 4 2 3'
_cell_length_a 4.425
_cell_length_b 4.425
_cell_length_c 4.425
_cell_angle_alpha 90.00
_cell_angle_beta 90.00
_cell_angle_gamma 90.00
loop_
_atom_site_label
_atom_site_type_symbol
_atom_site_fract_x
_atom_site_fract_y
_atom_site_fract_z
Fe1 Fe 0.000 0.000 0.000
Ru1 Ru 0.000 0.000 0.500
Se1 Se 0.500 0.500 0.500
```



Relative to the most stable one, in eV/atom, the structures come out at i 0.093; ii 0.000.



--- i ---
Material: FeSiRu3
Method: DFT, PBE
State: relaxed

Total magnetic moment in μB per atom: 0.0000

```
data_FeSiRu3
_space_group_name_H-M_alt 'P m -3 m'
_space_group_IT_number 221
_space_group_name_Hall '-P 4 2 3'
_cell_length_a 4.368
_cell_length_b 4.368
_cell_length_c 4.368
_cell_angle_alpha 90.00
_cell_angle_beta 90.00
_cell_angle_gamma 90.00
loop_
_atom_site_label
_atom_site_type_symbol
_atom_site_fract_x
_atom_site_fract_y
_atom_site_fract_z
Fe1 Fe 0.000 0.000 0.000
Si1 Si 0.500 0.500 0.500
Ru1 Ru 0.000 0.000 0.500
```



--- ii ---
Material: FeSiRu3
Method: DFT, PBE
State: relaxed

Total magnetic moment in μB per atom: 0.0853

```
data_FeSiRu3
_space_group_name_H-M_alt 'P m -3 m'
_space_group_IT_number 221
_space_group_name_Hall '-P 4 2 3'
_cell_length_a 4.310
_cell_length_b 4.310
_cell_length_c 4.310
_cell_angle_alpha 90.00
_cell_angle_beta 90.00
_cell_angle_gamma 90.00
loop_
_atom_site_label
_atom_site_type_symbol
_atom_site_fract_x
_atom_site_fract_y
_atom_site_fract_z
Fe1 Fe 0.000 0.000 0.000
Si1 Si 0.500 0.500 0.500
Ru1 Ru 0.000 0.500 0.500
```



Relative to the most stable one, in eV/atom, the structures come out at i 0.247; ii 0.000.



--- i ---
Material: FeSn2Ru
Method: DFT, PBE
State: relaxed

Total magnetic moment in μB per atom: 0.6173

```
data_FeSn2Ru
_space_group_name_H-M_alt 'I -4 2 d'
_space_group_IT_number 122
_space_group_name_Hall 'I -4 2bw'
_cell_length_a 5.985
_cell_length_b 5.985
_cell_length_c 11.761
_cell_angle_alpha 90.00
_cell_angle_beta 90.00
_cell_angle_gamma 90.00
loop_
_atom_site_label
_atom_site_type_symbol
_atom_site_fract_x
_atom_site_fract_y
_atom_site_fract_z
Fe1 Fe 0.000 0.000 0.000
Sn1 Sn 0.245 0.250 0.625
Ru1 Ru 0.000 0.000 0.500
```



--- ii ---
Material: FeSn2Ru
Method: DFT, PBE
State: relaxed

Total magnetic moment in μB per atom: 0.0000

```
data_FeSn2Ru
_space_group_name_H-M_alt 'F m -3 m'
_space_group_IT_number 225
_space_group_name_Hall '-F 4 2 3'
_cell_length_a 6.368
_cell_length_b 6.368
_cell_length_c 6.368
_cell_angle_alpha 90.00
_cell_angle_beta 90.00
_cell_angle_gamma 90.00
loop_
_atom_site_label
_atom_site_type_symbol
_atom_site_fract_x
_atom_site_fract_y
_atom_site_fract_z
Fe1 Fe 0.000 0.000 0.000
Sn1 Sn 0.250 0.250 0.250
Ru1 Ru 0.000 0.000 0.500
```



Relative to the most stable one, in eV/atom, the structures come out at i 0.784; ii 0.000.



--- i ---
Material: Sr2FeRu
Method: DFT, PBE
State: relaxed

Total magnetic moment in μB per atom: 0.9946

```
data_Sr2FeRu
_space_group_name_H-M_alt 'F m -3 m'
_space_group_IT_number 225
_space_group_name_Hall '-F 4 2 3'
_cell_length_a 7.406
_cell_length_b 7.406
_cell_length_c 7.406
_cell_angle_alpha 90.00
_cell_angle_beta 90.00
_cell_angle_gamma 90.00
loop_
_atom_site_label
_atom_site_type_symbol
_atom_site_fract_x
_atom_site_fract_y
_atom_site_fract_z
Sr1 Sr 0.250 0.250 0.250
Fe1 Fe 0.000 0.000 0.000
Ru1 Ru 0.000 0.000 0.500
```



--- ii ---
Material: Sr2FeRu
Method: DFT, PBE
State: relaxed

Total magnetic moment in μB per atom: 0.7175

```
data_Sr2FeRu
_space_group_name_H-M_alt 'R -3 m'
_space_group_IT_number 166
_space_group_name_Hall '-R 3 2"'
_cell_length_a 3.5199
_cell_length_b 3.5199
_cell_length_c 28.5355
_cell_angle_alpha 90.00
_cell_angle_beta 90.00
_cell_angle_gamma 120.00
loop_
_atom_site_label
_atom_site_type_symbol
_atom_site_fract_x
_atom_site_fract_y
_atom_site_fract_z
Sr1 Sr 0.0000 0.0000 0.2434
Fe1 Fe 0.0000 0.0000 0.0000
Ru1 Ru 0.0000 0.0000 0.5000
```



Relative to the most stable one, in eV/atom, the structures come out at i 0.000; ii 0.168.



--- i ---
Material: Sr2FeRu
Method: DFT, PBE
State: relaxed

Total magnetic moment in μB per atom: 0.9162

```
data_Sr2FeRu
_space_group_name_H-M_alt 'I -4 m 2'
_space_group_IT_number 119
_space_group_name_Hall 'I -4 -2'
_cell_length_a 5.070
_cell_length_b 5.070
_cell_length_c 7.199
_cell_angle_alpha 90.00
_cell_angle_beta 90.00
_cell_angle_gamma 90.00
loop_
_atom_site_label
_atom_site_type_symbol
_atom_site_fract_x
_atom_site_fract_y
_atom_site_fract_z
Sr1 Sr 0.000 0.000 0.000
Sr2 Sr 0.000 0.500 0.250
Fe1 Fe 0.000 0.500 0.750
Ru1 Ru 0.000 0.000 0.500
```



--- ii ---
Material: Sr2FeRu
Method: DFT, PBE
State: relaxed

Total magnetic moment in μB per atom: 0.9163

```
data_Sr2FeRu
_space_group_name_H-M_alt 'I -4 2 d'
_space_group_IT_number 122
_space_group_name_Hall 'I -4 2bw'
_cell_length_a 8.303
_cell_length_b 8.303
_cell_length_c 6.019
_cell_angle_alpha 90.00
_cell_angle_beta 90.00
_cell_angle_gamma 90.00
loop_
_atom_site_label
_atom_site_type_symbol
_atom_site_fract_x
_atom_site_fract_y
_atom_site_fract_z
Sr1 Sr 0.222 0.250 0.125
Fe1 Fe 0.000 0.000 0.500
Ru1 Ru 0.000 0.000 0.000
```



--- iii ---
Material: Sr2FeRu
Method: DFT, PBE
State: relaxed

Total magnetic moment in μB per atom: 0.8972

```
data_Sr2FeRu
_space_group_name_H-M_alt 'P 4 m m'
_space_group_IT_number 99
_cell_length_a 3.483
_cell_length_b 3.483
_cell_length_c 8.969
_cell_angle_alpha 90.00
_cell_angle_beta 90.00
_cell_angle_gamma 90.00
loop_
_space_group_symop_operation_xyz
'x,y,z'
'-y,x,z'
'-x,-y,z'
'y,-x,z'
'-x,y,z'
'y,x,z'
'x,-y,z'
'-y,-x,z'
loop_
_atom_site_label
_atom_site_type_symbol
_atom_site_fract_x
_atom_site_fract_y
_atom_site_fract_z
Sr1 Sr 0.000 0.000 0.000
Sr2 Sr 0.500 0.500 0.416
Fe1 Fe 0.000 0.000 0.670
Ru1 Ru 0.500 0.500 0.748
```



Relative to the most stable one, in eV/atom, the structures come out at i 0.402; ii 0.620; iii 0.000.